Record 1
{
  "formula": "V2ZnAgRu",
  "functional": "PBE-GGA",
  "state": "optimized geometry",
  "cell": [[4.668, 0.000, 0.000], [0.000, 4.668, 0.000], [0.000, 0.000, 4.498]],
  "species": ["V", "V", "Zn", "Ag", "Ru"],
  "frac_coords": [[0.000, 0.500, 0.000], [0.500, 0.000, 0.000], [0.000, 0.000, 0.500], [0.000, 0.000, 0.000], [0.500, 0.500, 0.500]],
  "dos_at_fermi_per_ev_fu": 7.61,
  "e_form_mev_per_atom": 1821.4,
  "space_group": "P4/mmm",
  "final_energy_ev_per_atom": -4.506,
  "magmom_total_mub_per_atom": 0.336
}

***

Record 2
{
  "formula": "NpAl3Ir2",
  "functional": "PBE-GGA",
  "state": "optimized geometry",
  "cell": [[8.218, -2.061, 0.000], [8.218, 2.061, 0.000], [-2.964, 0.000, 9.406]],
  "species": ["Np", "Np", "Np", "Al", "Al", "Al", "Al", "Al", "Al", "Al", "Al", "Al", "Ir", "Ir", "Ir", "Ir", "Ir", "Ir"],
  "frac_coords": [[0.000, 0.000, 0.000], [0.161, 0.161, 0.708], [0.839, 0.839, 0.292], [0.043, 0.043, 0.351], [0.214, 0.214, 0.393], [0.321, 0.321, 0.035], [0.374, 0.374, 0.795], [0.500, 0.500, 0.500], [0.626, 0.626, 0.205], [0.679, 0.679, 0.965], [0.786, 0.786, 0.607], [0.957, 0.957, 0.649], [0.187, 0.187, 0.123], [0.363, 0.363, 0.540], [0.471, 0.471, 0.217], [0.529, 0.529, 0.783], [0.637, 0.637, 0.460], [0.813, 0.813, 0.877]],
  "dos_at_fermi_per_ev_fu": 10.29,
  "e_form_mev_per_atom": -576.0,
  "space_group": "C2/m",
  "final_energy_ev_per_atom": -7.558,
  "magmom_total_mub_per_atom": 0.634
}

***

Record 3
{
  "formula": "La5Nd2Ho3",
  "functional": "PBE-GGA",
  "state": "optimized geometry",
  "cell": [[5.532, -7.468, 0.000], [5.532, 7.468, 0.000], [-5.527, 0.000, 8.586]],
  "species": ["La", "La", "La", "La", "La", "La", "La", "La", "La", "La", "Nd", "Nd", "Nd", "Nd", "Ho", "Ho", "Ho", "Ho", "Ho", "Ho"],
  "frac_coords": [[0.017, 0.983, 0.750], [0.122, 0.381, 0.749], [0.224, 0.776, 0.750], [0.381, 0.122, 0.249], [0.476, 0.524, 0.250], [0.524, 0.476, 0.750], [0.619, 0.878, 0.751], [0.776, 0.224, 0.250], [0.878, 0.619, 0.251], [0.983, 0.017, 0.250], [0.028, 0.285, 0.061], [0.285, 0.028, 0.561], [0.715, 0.972, 0.439], [0.972, 0.715, 0.939], [0.224, 0.477, 0.444], [0.269, 0.731, 0.250], [0.477, 0.224, 0.944], [0.523, 0.776, 0.056], [0.731, 0.269, 0.750], [0.776, 0.523, 0.556]],
  "dos_at_fermi_per_ev_fu": 17.40,
  "e_form_mev_per_atom": 159.0,
  "space_group": "C2/c",
  "final_energy_ev_per_atom": -4.632,
  "magmom_total_mub_per_atom": 0.000
}

***

What did the second record say?
{
  "formula": "NpAl3Ir2",
  "functional": "PBE-GGA",
  "state": "optimized geometry",
  "cell": [[8.218, -2.061, 0.000], [8.218, 2.061, 0.000], [-2.964, 0.000, 9.406]],
  "species": ["Np", "Np", "Np", "Al", "Al", "Al", "Al", "Al", "Al", "Al", "Al", "Al", "Ir", "Ir", "Ir", "Ir", "Ir", "Ir"],
  "frac_coords": [[0.000, 0.000, 0.000], [0.161, 0.161, 0.708], [0.839, 0.839, 0.292], [0.043, 0.043, 0.351], [0.214, 0.214, 0.393], [0.321, 0.321, 0.035], [0.374, 0.374, 0.795], [0.500, 0.500, 0.500], [0.626, 0.626, 0.205], [0.679, 0.679, 0.965], [0.786, 0.786, 0.607], [0.957, 0.957, 0.649], [0.187, 0.187, 0.123], [0.363, 0.363, 0.540], [0.471, 0.471, 0.217], [0.529, 0.529, 0.783], [0.637, 0.637, 0.460], [0.813, 0.813, 0.877]],
  "dos_at_fermi_per_ev_fu": 10.29,
  "e_form_mev_per_atom": -576.0,
  "space_group": "C2/m",
  "final_energy_ev_per_atom": -7.558,
  "magmom_total_mub_per_atom": 0.634
}

***

Copy entry 2 word for word.
{
  "formula": "NpAl3Ir2",
  "functional": "PBE-GGA",
  "state": "optimized geometry",
  "cell": [[8.218, -2.061, 0.000], [8.218, 2.061, 0.000], [-2.964, 0.000, 9.406]],
  "species": ["Np", "Np", "Np", "Al", "Al", "Al", "Al", "Al", "Al", "Al", "Al", "Al", "Ir", "Ir", "Ir", "Ir", "Ir", "Ir"],
  "frac_coords": [[0.000, 0.000, 0.000], [0.161, 0.161, 0.708], [0.839, 0.839, 0.292], [0.043, 0.043, 0.351], [0.214, 0.214, 0.393], [0.321, 0.321, 0.035], [0.374, 0.374, 0.795], [0.500, 0.500, 0.500], [0.626, 0.626, 0.205], [0.679, 0.679, 0.965], [0.786, 0.786, 0.607], [0.957, 0.957, 0.649], [0.187, 0.187, 0.123], [0.363, 0.363, 0.540], [0.471, 0.471, 0.217], [0.529, 0.529, 0.783], [0.637, 0.637, 0.460], [0.813, 0.813, 0.877]],
  "dos_at_fermi_per_ev_fu": 10.29,
  "e_form_mev_per_atom": -576.0,
  "space_group": "C2/m",
  "final_energy_ev_per_atom": -7.558,
  "magmom_total_mub_per_atom": 0.634
}

***

Copy entry 3 word for word.
{
  "formula": "La5Nd2Ho3",
  "functional": "PBE-GGA",
  "state": "optimized geometry",
  "cell": [[5.532, -7.468, 0.000], [5.532, 7.468, 0.000], [-5.527, 0.000, 8.586]],
  "species": ["La", "La", "La", "La", "La", "La", "La", "La", "La", "La", "Nd", "Nd", "Nd", "Nd", "Ho", "Ho", "Ho", "Ho", "Ho", "Ho"],
  "frac_coords": [[0.017, 0.983, 0.750], [0.122, 0.381, 0.749], [0.224, 0.776, 0.750], [0.381, 0.122, 0.249], [0.476, 0.524, 0.250], [0.524, 0.476, 0.750], [0.619, 0.878, 0.751], [0.776, 0.224, 0.250], [0.878, 0.619, 0.251], [0.983, 0.017, 0.250], [0.028, 0.285, 0.061], [0.285, 0.028, 0.561], [0.715, 0.972, 0.439], [0.972, 0.715, 0.939], [0.224, 0.477, 0.444], [0.269, 0.731, 0.250], [0.477, 0.224, 0.944], [0.523, 0.776, 0.056], [0.731, 0.269, 0.750], [0.776, 0.523, 0.556]],
  "dos_at_fermi_per_ev_fu": 17.40,
  "e_form_mev_per_atom": 159.0,
  "space_group": "C2/c",
  "final_energy_ev_per_atom": -4.632,
  "magmom_total_mub_per_atom": 0.000
}